No. 1
Density functional theory data (SCAN) for KBS2Cl at its PBEsol-relaxed geometry.

Cell: 5.6317 5.6317 5.5259 Å, 90.00 90.00 90.00°
Closest atoms and distances in Å follow each position.
Atoms (fractional coordinates):
K: 0.0000 0.0000 0.0000  2 Cl 2.76, 4 S 2.82
B: 0.5000 0.5000 0.5000  8 S 3.94, 4 Cl 3.98
S: 0.0000 0.5000 0.0000  2 K 2.82
S: 0.5000 0.0000 0.0000  2 K 2.82
Cl: 0.0000 0.0000 0.5000  2 K 2.76

=====

No. 2
Density functional theory data (SCAN) for KSnB2Cl at its PBEsol-relaxed geometry.

Cell: 4.6065 4.6065 5.1744 Å, 90.00 90.00 90.00°
Closest atoms and distances in Å follow each position.
Atoms (fractional coordinates):
K: 0.0000 0.0000 0.0000  2 Cl 2.59
Sn: 0.5000 0.5000 0.0000  4 K 3.26, 8 B 3.46
B: 0.0000 0.5000 0.5000  2 Cl 2.30
B: 0.5000 0.0000 0.5000  2 Cl 2.30
Cl: 0.0000 0.0000 0.5000  4 B 2.30

=====

No. 3
Density functional theory data (SCAN) for LaB2Cl at its PBEsol-relaxed geometry.

Cell: 4.5526 4.5526 4.5526 Å, 60.00 60.00 60.00°
Closest atoms and distances in Å follow each position.
Atoms (fractional coordinates):
La: 0.0000 0.0000 0.0000  8 B 2.79
B: 0.2500 0.2500 0.2500  4 La 2.79, 4 Cl 2.79
B: 0.7500 0.7500 0.7500  4 Cl 2.79, 4 La 2.79
Cl: 0.5000 0.5000 0.5000  8 B 2.79

=====

No. 4
Density functional theory data (SCAN) for LaB2ClO4 at its PBEsol-relaxed geometry.

Cell: 4.2297 6.5818 8.0759 Å, 82.71 89.42 72.18°
Closest atoms and distances in Å follow each position.
Atoms (fractional coordinates):
La: 0.2118 0.0334 0.2221  5 O 2.39-2.65
La: 0.7882 0.9666 0.7779  5 O 2.39-2.65
B: 0.1677 0.3485 0.8510  3 O 1.35-1.40
B: 0.4352 0.4376 0.1948  3 O 1.33-1.40
B: 0.5648 0.5624 0.8052  3 O 1.33-1.40
B: 0.8323 0.6515 0.1490  3 O 1.35-1.40
Cl: 0.1500 0.2000 0.5456  1 B 2.78, 2 La 2.94-2.98, 1 O 3.01
Cl: 0.8500 0.8000 0.4544  1 B 2.78, 2 La 2.94-2.98, 1 O 3.01
O: 0.0965 0.4636 0.1790  2 B 1.39-1.40
O: 0.1610 0.1529 0.9213  1 B 1.35
O: 0.3654 0.7645 0.7889  1 B 1.33
O: 0.4816 0.3722 0.8180  2 B 1.39-1.40
O: 0.5184 0.6278 0.1820  2 B 1.39-1.40
O: 0.6346 0.2355 0.2111  1 B 1.33
O: 0.8390 0.8471 0.0787  1 B 1.35
O: 0.9035 0.5364 0.8210  2 B 1.39-1.40

=====

No. 5
Density functional theory data (SCAN) for LiBSCl2 at its PBEsol-relaxed geometry.

Cell: 4.5970 4.5970 4.4385 Å, 90.00 90.00 90.00°
Closest atoms and distances in Å follow each position.
Atoms (fractional coordinates):
Li: 0.0000 0.0000 0.0000  2 S 2.22, 4 Cl 2.30
B: 0.5000 0.5000 0.5000  8 Cl 3.20, 4 S 3.25
S: 0.0000 0.0000 0.5000  2 Li 2.22
Cl: 0.0000 0.5000 0.0000  2 Li 2.30
Cl: 0.5000 0.0000 0.0000  2 Li 2.30

=====

No. 6
Density functional theory data (SCAN) for MgB2Cl at its PBEsol-relaxed geometry.

Cell: 5.2771 5.2771 5.2771 Å, 114.71 114.71 99.44°
Closest atoms and distances in Å follow each position.
Atoms (fractional coordinates):
Mg: 0.0000 0.0000 0.0000  4 B 2.40
Mg: 0.7500 0.2500 0.5000  4 B 2.40
B: 0.1786 0.1250 0.5536  2 Cl 2.00
B: 0.3750 0.8214 0.9464  2 Cl 2.00
B: 0.5714 0.6250 0.4464  2 Cl 2.00
B: 0.8750 0.4286 0.0536  2 Cl 2.00
Cl: 0.2500 0.7500 0.5000  4 B 2.00
Cl: 0.5000 0.5000 0.0000  4 B 2.00

=====

no.,raw formation energy (eV per atom),density (kg/m3)
1,1.471,1416
2,1.606,3250
3,1.017,4878
4,-2.985,4068
5,0.646,2137
6,1.432,2444